Record 1
VASP calculation (PBE) on a geometry-optimized P2S2Cl structure.

Calculated values
M_tot ... 0.00 μB/f.u.
SG ... I4/mmm
Polymorph energy (0 for the lowest one) ... 105 meV/atom
Density of states at the Fermi level ... 0.7 states/eV/f.u.

Cell: 4.214 4.214 6.266 Å, 70.35 70.35 90.00°
Positions (direct):
P 0.343 0.343 0.314
P 0.657 0.657 0.686
S 0.750 0.250 0.500
S 0.250 0.750 0.500
Cl 0.000 0.000 0.000

Record 2
VASP calculation (PBE) on a geometry-optimized SbPS4Cl structure.

Calculated values
M_tot ... 0.00 μB/f.u.
SG ... C2/m
Density of states at the Fermi level ... 0.8 states/eV/f.u.
Electronic total energy ... -4.161 eV/atom

Cell: 7.491 7.491 8.840 Å, 80.85 80.85 81.77°
Positions (direct):
S 0.866 0.532 0.817
S 0.310 0.310 0.517
S 0.532 0.866 0.817
S 0.450 0.450 0.744
S 0.690 0.690 0.483
S 0.134 0.468 0.183
S 0.468 0.134 0.183
S 0.550 0.550 0.256
Cl 0.992 0.992 0.785
Cl 0.008 0.008 0.215
Sb 0.799 0.799 0.962
Sb 0.201 0.201 0.038
P 0.370 0.370 0.290
P 0.630 0.630 0.710

Record 3
VASP calculation (PBE) on a geometry-optimized ScPS2Cl structure.

Calculated values
M_tot ... 0.00 μB/f.u.
SG ... P4/mmm
Polymorph energy (0 for the lowest one) ... 691 meV/atom
Density of states at the Fermi level ... 3.8 states/eV/f.u.

Cell: 4.712 4.712 4.446 Å, 90.00 90.00 90.00°
Positions (direct):
S 0.000 0.500 0.000
S 0.500 0.000 0.000
P 0.000 0.000 0.500
Cl 0.000 0.000 0.000
Sc 0.500 0.500 0.500

Record 4
VASP calculation (PBE) on a geometry-optimized ScPS2Cl structure.

Calculated values
M_tot ... 0.63 μB/f.u.
SG ... P4/mmm
Polymorph energy (0 for the lowest one) ... 304 meV/atom
Density of states at the Fermi level ... 3.3 states/eV/f.u.

Cell: 4.803 4.803 5.342 Å, 90.00 90.00 90.00°
Each line ends with the local moment (μB).
Positions (direct):
P 0.000 0.000 0.500  -0.03
Sc 0.000 0.000 0.000  -0.02
S 0.500 0.000 0.000  0.22
S 0.000 0.500 0.000  0.22
Cl 0.500 0.500 0.500  0.04

Record 5
VASP calculation (PBE) on a geometry-optimized ScPS2Cl structure.

Calculated values
M_tot ... 0.47 μB/f.u.
SG ... P4/mmm
Polymorph energy (0 for the lowest one) ... 0 meV/atom
Density of states at the Fermi level ... 4.1 states/eV/f.u.

Cell: 4.637 4.637 4.532 Å, 90.00 90.00 90.00°
Each line ends with the local moment (μB).
Positions (direct):
P 0.000 0.000 0.000  0.02
S 0.000 0.500 0.000  -0.02
S 0.500 0.000 0.000  -0.02
Cl 0.000 0.000 0.500  -0.01
Sc 0.500 0.500 0.500  0.39

Record 6
VASP calculation (PBE) on a geometry-optimized ScPS2Cl structure.

Calculated values
M_tot ... 1.04 μB/f.u.
SG ... P4/mmm
Polymorph energy (0 for the lowest one) ... 34 meV/atom
Density of states at the Fermi level ... 2.2 states/eV/f.u.

Cell: 5.014 5.014 4.778 Å, 90.00 90.00 90.00°
Each line ends with the local moment (μB).
Positions (direct):
Sc 0.000 0.000 0.000  0.03
P 0.500 0.500 0.500  0.72
S 0.500 0.000 0.000  -0.19
S 0.000 0.500 0.000  -0.19
Cl 0.000 0.000 0.500  0.02

Record 7
VASP calculation (PBE) on a geometry-optimized PSeSCl2 structure.

Calculated values
M_tot ... 0.00 μB/f.u.
SG ... P4/mmm
Polymorph energy (0 for the lowest one) ... 245 meV/atom
Density of states at the Fermi level ... 4.0 states/eV/f.u.

Cell: 4.469 4.469 5.470 Å, 90.00 90.00 90.00°
Positions (direct):
P 0.000 0.000 0.500
Cl 0.000 0.500 0.000
Cl 0.500 0.000 0.000
Se 0.500 0.500 0.500
S 0.000 0.000 0.000

Record 8
VASP calculation (PBE) on a geometry-optimized PSeSCl2 structure.

Calculated values
M_tot ... 0.18 μB/f.u.
SG ... P4/mmm
Polymorph energy (0 for the lowest one) ... 360 meV/atom
Density of states at the Fermi level ... 3.9 states/eV/f.u.

Cell: 4.727 4.727 5.397 Å, 90.00 90.00 90.00°
Each line ends with the local moment (μB).
Positions (direct):
S 0.500 0.500 0.500  -0.40
P 0.000 0.000 0.500  0.22
Cl 0.000 0.500 0.000  -0.02
Cl 0.500 0.000 0.000  -0.02
Se 0.000 0.000 0.000  0.01